Density functional theory data (PBE) for a geometry-optimized Au2I6Br structure.

Results
* distance to the lowest polymorph of the same formula: 0.0310 eV/atom
* uncorrected energy: -1.9375 eV per atom
* ΔE_f (raw): 10 meV/atom
* volume: 1694 Å³ per cell

Lattice parameters (Å, degrees): 15.2378 12.8738 8.6671 90.00 94.86 90.00
Closest atoms and distances in Å follow each position.
Space group C2/c (No. 15)
Inequivalent atoms, fractional coordinates:
Au: 0.1863 0.0757 0.1315 [8 per cell]  2 I 2.60-2.64
I: 0.0965 0.0265 0.4120 [8 per cell]  1 Au 2.60
I: 0.1415 0.3727 0.2515 [8 per cell]  1 Br 2.80, 1 I 2.89
I: 0.2141 0.2736 0.7435 [8 per cell]  1 Au 2.64, 1 I 2.89
Br: 0.0000 0.4882 0.7500 [4 per cell]  2 I 2.80

Density functional theory data (PBE) for a geometry-optimized AuI3Br structure.

Results
* distance to the lowest polymorph of the same formula: 0.0000 eV/atom
* uncorrected energy: -1.8775 eV per atom
* ΔE_f (raw): 43 meV/atom
* volume: 551 Å³ per cell

Lattice parameters (Å, degrees): 5.8270 7.9991 12.3510 77.59 84.04 79.32
Closest atoms and distances in Å follow each position.
Space group P-1 (No. 2)
Inequivalent atoms, fractional coordinates:
Au: 0.0871 0.4848 0.2123 [2 per cell]  3 I 2.56-2.71
I: 0.0560 0.1625 0.3314 [2 per cell]  1 Au 2.71, 1 Br 2.76
I: 0.2540 0.4163 0.6383 [2 per cell]  1 Au 2.69, 1 Br 2.80
I: 0.3127 0.6392 0.0426 [2 per cell]  1 Au 2.56
Br: 0.4279 0.8945 0.3225 [2 per cell]  2 I 2.76-2.80

Density functional theory data (PBE) for a geometry-optimized AuIBr3 structure.

Results
* distance to the lowest polymorph of the same formula: 0.2757 eV/atom
* uncorrected energy: -1.7564 eV per atom
* ΔE_f (raw): 213 meV/atom
* volume: 153 Å³ per cell

Lattice parameters (Å, degrees): 5.3482 5.3482 5.3482 90.00 90.00 90.00
Closest atoms and distances in Å follow each position.
Space group Pm-3m (No. 221)
Inequivalent atoms, fractional coordinates:
Au: 0.0000 0.0000 0.0000 [1 per cell]  6 Br 2.67
I: 0.5000 0.5000 0.5000 [1 per cell]  12 Br 3.78
Br: 0.0000 0.0000 0.5000 [3 per cell]  2 Au 2.67

Density functional theory data (PBE) for a geometry-optimized Au2I2Br structure.

Results
* distance to the lowest polymorph of the same formula: 0.0328 eV/atom
* uncorrected energy: -2.2448 eV per atom
* ΔE_f (raw): 21 meV/atom
* volume: 770 Å³ per cell

Lattice parameters (Å, degrees): 7.4197 7.4197 13.9892 90.00 90.00 90.00
Closest atoms and distances in Å follow each position.
Space group I4_1md (No. 109)
Inequivalent atoms, fractional coordinates:
Au: 0.0000 0.3082 0.0000 [8 per cell]  1 Br 2.55, 1 I 2.63, 1 Au 2.85
I: 0.0000 0.2338 0.1840 [8 per cell]  1 Au 2.63
Br: 0.0000 0.0000 0.5986 [4 per cell]  2 Au 2.55

Density functional theory data (PBE) for a geometry-optimized AuI3Br structure.

Results
* distance to the lowest polymorph of the same formula: 0.0644 eV/atom
* uncorrected energy: -1.8131 eV per atom
* ΔE_f (raw): 107 meV/atom
* volume: 409 Å³ per cell

Lattice parameters (Å, degrees): 8.6492 3.8940 12.1483 90.00 90.26 90.00
Closest atoms and distances in Å follow each position.
Space group P2_1/m (No. 11)
Inequivalent atoms, fractional coordinates:
Au: 0.2455 0.2500 0.2375 [2 per cell]  5 I 2.73-2.96
I: 0.0288 0.7500 0.2042 [2 per cell]  2 Au 2.73
I: 0.2475 0.2500 0.4810 [2 per cell]  1 Au 2.96
I: 0.4619 0.7500 0.2045 [2 per cell]  2 Au 2.73
Br: 0.2557 0.7500 0.8547 [2 per cell]  4 I 3.21-3.22

Density functional theory data (PBE) for a geometry-optimized Au3I2Br6 structure.

Results
* uncorrected energy: -2.1165 eV per atom
* ΔE_f (raw): -28 meV/atom
* volume: 1874 Å³ per cell

Lattice parameters (Å, degrees): 12.9883 8.4960 17.9549 90.00 108.95 90.00
Closest atoms and distances in Å follow each position.
Space group C2/c (No. 15)
Inequivalent atoms, fractional coordinates:
Au: 0.0000 0.1634 0.2500 [4 per cell]  2 Br 2.43
Au: 0.1273 0.3212 0.7312 [8 per cell]  2 Br 2.44-2.48
I: 0.0627 0.2467 0.4882 [8 per cell]  2 Br 2.73-2.78
Br: 0.0908 0.3179 0.8565 [8 per cell]  1 Au 2.44
Br: 0.0937 0.1604 0.1530 [8 per cell]  1 Au 2.43
Br: 0.2153 0.3283 0.6277 [8 per cell]  1 Au 2.48, 1 I 2.73

Density functional theory data (PBE) for a geometry-optimized K2AuI2Br2 structure.

Results
* uncorrected energy: -2.6386 eV per atom
* ΔE_f (raw): -936 meV/atom
* volume: 578 Å³ per cell

Lattice parameters (Å, degrees): 10.2634 6.5407 8.6846 90.00 97.46 90.00
Closest atoms and distances in Å follow each position.
Space group C2/m (No. 12)
Inequivalent atoms, fractional coordinates:
K: 0.2244 0.0000 0.2542 [4 per cell]  3 Br 3.44-3.46, 4 I 3.70-3.72, 1 Au 3.81
Au: 0.0000 0.5000 0.0000 [2 per cell]  2 Br 2.43
I: 0.0000 0.2498 0.5000 [4 per cell]  2 I 3.27
Br: 0.2233 0.5000 0.1318 [4 per cell]  1 Au 2.43

Density functional theory data (PBE) for a geometry-optimized K8Au3I4Br structure.

Results
* uncorrected energy: -2.7055 eV per atom
* ΔE_f (raw): -1050 meV/atom
* volume: 2036 Å³ per cell

Lattice parameters (Å, degrees): 9.8555 9.8555 24.2053 90.00 90.00 120.00
Closest atoms and distances in Å follow each position.
Space group R-3m (No. 166, hexagonal axes)
Inequivalent atoms, fractional coordinates:
K: 0.0000 0.0000 0.2470 [6 per cell]  3 Au 3.45, 3 I 3.53
K: 0.0033 0.5017 0.2460 [18 per cell]  1 Br 3.41, 2 Au 3.44, 3 I 3.53-3.57
Au: 0.0000 0.5000 0.5000 [9 per cell]  6 K 3.44-3.45
I: 0.0000 0.0000 0.0000 [3 per cell]  6 K 3.57
I: 0.0000 0.5000 0.0000 [9 per cell]  6 K 3.53
Br: 0.0000 0.0000 0.5000 [3 per cell]  6 K 3.41